Record 1
The following is a PBEsol calculation of Cd2AgRh after structural relaxation, from the Alexandria database.

```
Cd2AgRh
1.0
2.992 -3.581 0.000
2.992 3.581 0.000
0.000 0.000 3.136
Cd Ag Rh
2 1 1
Direct
0.000 0.500 0.000
0.500 0.000 0.000
0.000 0.000 0.500
0.500 0.500 0.500
```

Results
formation enthalpy at 0 K = -0.09 eV/atom
symmetry = Cmmm
E above lowest polymorph = 23.7 meV/atom

***

Record 2
The following is a PBEsol calculation of Te2MoOsI after structural relaxation, from the Alexandria database.

```
Te2MoOsI
1.0
5.151 0.000 0.000
0.000 5.151 0.000
0.000 0.000 5.313
Te Mo Os I
2 1 1 1
Direct
0.000 0.500 0.000
0.500 0.000 0.000
0.000 0.000 0.000
0.500 0.500 0.500
0.000 0.000 0.500
```

Results
symmetry = P4/mmm
E above lowest polymorph = 248.6 meV/atom
ΔE_f (raw) = 1707.3 meV/atom

***

Record 3
The following is a PBEsol calculation of CrTcN2 after structural relaxation, from the Alexandria database.

```
CrTcN2
1.0
1.330 0.768 6.346
-1.330 0.768 6.346
0.000 -1.536 6.346
Cr Tc N
1 1 2
Direct
0.000 0.000 0.000
0.500 0.500 0.500
0.396 0.396 0.396
0.604 0.604 0.604
```

Results
symmetry = R-3m
E above lowest polymorph = 0.0 meV/atom
ΔE_f (raw) = -58.8 meV/atom

***

Record 4
The following is a PBEsol calculation of LiMg3 after structural relaxation, from the Alexandria database.

```
LiMg3
1.0
5.572 0.000 0.000
0.000 5.572 0.000
0.000 0.000 5.572
Li Mg
2 6
Direct
0.000 0.000 0.000
0.500 0.500 0.500
0.000 0.250 0.500
0.000 0.750 0.500
0.250 0.500 0.000
0.500 0.000 0.250
0.500 0.000 0.750
0.750 0.500 0.000
```

Results
formation enthalpy at 0 K = 0.03 eV/atom
symmetry = Pm-3n